NaP2WO (PBE with a Hubbard U, optimized geometry); energy relative to the lowest polymorph listed for this composition = 1.593 eV/atom; SG = No. 123; calculated volume = 18.29 Å³/atom; mass density = 5.17 g cm⁻³; VASP energy = -3.5585 eV/atom
1.0
4.7989 0.0000 0.0000
0.0000 4.7989 0.0000
0.0000 0.0000 3.9703
Na P W O
1 2 1 1
direct
0.0000 0.0000 0.0000 Na
0.0000 0.5000 0.0000 P
0.5000 0.0000 0.0000 P
0.5000 0.5000 0.5000 W
0.0000 0.0000 0.5000 O